Entry 1:
# ZrMnPt

ZrMnPt at its PBEsol-relaxed geometry (meta-GGA SCAN, Alexandria via LeMat-Bulk).

The structure in POSCAR format:
```
ZrMnPt
1.0
-0.5796 3.2264 2.8938
-3.1499 2.9658 -0.6340
-3.5347 0.0194 2.5739
Zr Mn Pt
1 1 1
direct
0.0000 0.0000 0.0000
0.5000 0.5000 0.5000
0.2500 0.2500 0.2500
```

Properties
Space group ... F-43m (216)
Energy ... -1.486 hartree per atom
Volume ... 59.1 Å³/cell
E_form ... -0.73 eV per atom
Crystal system ... cubic

=====

Entry 2:
# MgZn2Ni

MgZn2Ni at its PBEsol-relaxed geometry (meta-GGA SCAN, Alexandria via LeMat-Bulk).

The structure in POSCAR format:
```
MgZn2Ni
1.0
-2.3479 0.4292 -1.9191
-0.9777 -2.8480 0.5592
-3.3093 2.0196 4.5002
Ni Zn Mg
1 2 1
direct
0.5000 0.5000 0.5000
0.0000 0.0000 0.2897
0.0000 0.0000 0.7103
0.5000 0.5000 0.0000
```

Properties
Space group ... P4/mmm (123)
Energy ... -0.449 hartree per atom
Volume ... 55.7 Å³/cell
E_form ... -0.17 eV per atom
Crystal system ... tetragonal